Here is LaBeNi after structural relaxation from the Alexandria database. Energies are from GGA-PBE.

Properties
N(E_F) = 12.0 states/eV/cell
SG = Pnma
Offset from the most stable computed form = 52 meV/atom
Energy of formation from the pure elements = -0.112 eV per atom

Unit cell a=4.133 b=5.097 c=11.532 alpha=90.00 beta=90.00 gamma=90.00
Fractional positions:
1 La 0.250 0.370 0.144
2 Ni 0.250 0.881 0.045
3 Be 0.750 0.845 0.095
4 Be 0.750 0.655 0.595
5 La 0.750 0.630 0.856
6 La 0.750 0.870 0.356
7 Ni 0.750 0.381 0.455
8 Ni 0.750 0.119 0.955
9 La 0.250 0.130 0.644
10 Ni 0.250 0.619 0.545
11 Be 0.250 0.155 0.905
12 Be 0.250 0.345 0.405